A geometry-optimized BaPmGe structure, computed with GGA-PBE.

Structure (extended XYZ):
```
3
Lattice="5.3469 0.0000 0.0000 2.6735 4.6306 0.0000 2.6735 1.5435 4.3657" Properties=species:S:1:pos:R:3 pbc="T T T"
Ge 2.6735 1.5435 1.0914
Ba 5.3469 3.0870 2.1829
Pm 0.0000 0.0000 0.0000
```

Values from the calculation:
- D(E_F): 3.6 states/eV per cell
- Final energy: -12.20 eV/cell
- Crystal system: cubic
- V: 108.09 Å³/f.u.
- Total magnetization: 0.069 μB/atom

=====

A geometry-optimized Ba2Pm2Ge3 structure, computed with GGA-PBE.

Structure (extended XYZ):
```
7
Lattice="-0.1469 -3.5521 3.4438 0.0305 -2.1453 -5.7666 8.8608 0.6116 0.9807" Properties=species:S:1:pos:R:3 pbc="T T T"
Ba 5.5568 -4.3171 -0.6854
Ba 3.1877 -0.7686 -0.6568
Pm 8.1629 -2.3529 1.4517
Pm 0.5816 -2.7328 -2.7939
Ge 0.0000 0.0000 0.0000
Ge 2.0678 -4.0949 -0.5779
Ge 6.6766 -0.9908 -0.7643
```

Values from the calculation:
- D(E_F): 1.7 states/eV per cell
- Final energy: -30.91 eV/cell
- Crystal system: triclinic
- V: 246.92 Å³/f.u.
- Total magnetization: 0.000 μB/atom

=====

A geometry-optimized Ba3Pm12Ge5 structure, computed with GGA-PBE.

Structure (extended XYZ):
```
80
Lattice="-10.8984 10.8971 5.3053 4.2991 -9.8090 12.2870 13.1787 7.7827 -5.6053" Properties=species:S:1:pos:R:3 pbc="T T T"
Ba -4.9143 5.4673 7.8859
Ba -4.6644 3.1511 13.1567
Ba 7.3741 1.5939 7.7014
Ba 2.7548 4.4167 0.7602
Ba -5.7040 10.2545 4.7767
Ba 1.8947 -0.0985 8.2675
Ba 4.6847 8.9693 3.7195
Ba 12.2834 -1.3837 7.2103
Ba 3.8246 4.4541 11.2268
Ba -0.7947 7.2769 4.2856
Ba 11.2438 5.7198 -1.1697
Ba 11.4937 3.4035 4.1011
Ge 3.5445 -0.3706 3.8695
Ge 2.1495 -4.9045 6.1435
Ge 0.0000 0.0000 0.0000
Ge -1.3648 2.6070 4.3606
Ge 1.1401 9.3399 -0.1500
Ge -3.2997 0.5441 8.7961
Ge 6.8040 -3.0761 7.7764
Ge 3.8949 13.7565 0.6102
Ge -0.5449 4.9607 9.5564
Ge 6.3345 8.6973 -0.6786
Ge 0.2449 0.1735 12.6656
Ge 3.2897 4.4354 5.9935
Ge -5.4492 5.4485 2.6527
Ge 6.5893 3.8913 -2.8026
Ge 7.1242 3.9101 2.4306
Ge 2.6844 -4.8857 11.3768
Ge 8.7389 -1.0131 3.3408
Ge -0.2246 11.9469 4.2106
Ge 7.9442 6.2638 7.6264
Ge 3.0348 9.2414 8.1175
Pm -7.0916 6.7476 4.6478
Pm 4.3034 1.7690 5.5151
Pm -4.9597 9.1595 8.6641
Pm -3.5999 4.2893 4.5506
Pm 5.3708 5.1753 7.8609
Pm -5.9253 6.6101 11.3372
Pm 5.2224 -1.4501 9.4247
Pm 4.0866 -7.2701 10.9177
Pm 7.0037 1.8638 11.4470
Pm -2.4775 2.9993 10.0852
Pm -1.2047 7.2226 8.0364
Pm -4.8500 -0.1209 15.6316
Pm 8.7238 -1.9312 6.0836
Pm -1.3185 1.2342 6.8050
Pm 8.2967 -4.6360 9.5654
Pm 3.6838 7.9630 -0.1342
Pm 2.1292 0.8351 1.7706
Pm -1.4270 -0.7222 10.6005
Pm -0.9624 2.5410 13.5596
Pm 1.8068 -2.3487 4.8333
Pm 10.4052 1.0945 9.8929
Pm 1.3908 3.6332 8.0224
Pm 0.1120 5.9877 12.0814
Pm 4.2953 12.6822 3.1690
Pm 5.1886 5.2376 3.9646
Pm 6.4674 2.8831 -0.0944
Pm 2.2841 -3.8114 8.8180
Pm 7.5417 6.3298 -1.5726
Pm -3.8259 7.7764 2.0941
Pm 4.7726 11.2195 7.1537
Pm 8.0064 9.5930 1.3865
Pm 2.8956 0.9078 12.1212
Pm 4.4502 8.0357 10.2164
Pm -1.7174 13.5068 2.4216
Pm -2.1444 10.8020 5.9034
Pm 11.4294 8.9917 -3.6446
Pm 7.8979 7.6366 5.1820
Pm -0.4243 7.0070 0.5399
Pm 9.0569 5.8715 1.9018
Pm 7.7841 1.6482 3.9506
Pm 2.4927 16.1409 1.0693
Pm 1.3569 10.3210 2.5623
Pm 10.1793 4.5815 7.4364
Pm 12.5047 2.2607 0.6497
Pm 1.2085 3.6955 4.1260
Pm 11.5390 -0.2887 3.3229
Pm 2.2760 7.1018 6.4719
Pm 13.6710 2.1232 7.3391
```

Values from the calculation:
- D(E_F): 107.4 states/eV per cell
- Final energy: -330.69 eV/cell
- Crystal system: cubic
- V: 833.35 Å³/f.u.
- Total magnetization: 0.000 μB/atom

=====

A geometry-optimized BaPm6Ge4 structure, computed with GGA-PBE.

Structure (extended XYZ):
```
11
Lattice="-1.0676 3.9592 -1.0953 -2.4857 1.7855 8.8770 8.8131 1.5964 -2.8194" Properties=species:S:1:pos:R:3 pbc="T T T"
Ba 0.0000 0.0000 0.0000
Pm -0.6329 1.0933 4.5690
Pm 5.0395 4.3471 2.5782
Pm 2.7085 1.6986 3.5000
Pm 1.7661 2.3756 6.8657
Pm 6.0613 3.6131 -1.0709
Pm 2.4385 2.9569 0.0881
Ge 3.1472 4.4914 4.9440
Ge 0.1377 2.8828 2.0628
Ge -1.0445 3.7321 6.2849
Ge 5.0469 1.6595 1.0794
```

Values from the calculation:
- D(E_F): 9.1 states/eV per cell
- Final energy: -55.00 eV/cell
- Crystal system: hexagonal
- V: 324.08 Å³/f.u.
- Total magnetization: 0.270 μB/atom

=====

A geometry-optimized BaPmGe2 structure, computed with GGA-PBE.

Structure (extended XYZ):
```
4
Lattice="-2.8444 2.6189 1.1161 -1.2676 0.2475 -3.8115 -4.4825 -5.3556 1.1430" Properties=species:S:1:pos:R:3 pbc="T T T"
Ge -3.6618 -4.3751 0.9338
Ge -0.8207 -0.9805 0.2093
Ba -4.2973 -1.2446 -0.7762
Pm -2.0560 1.4332 -1.3477
```

Values from the calculation:
- D(E_F): 2.3 states/eV per cell
- Final energy: -18.35 eV/cell
- Crystal system: tetragonal
- V: 114.61 Å³/f.u.
- Total magnetization: 0.000 μB/atom

=====

A geometry-optimized BaPmGe structure, computed with GGA-PBE.

Structure (extended XYZ):
```
6
Lattice="-0.5009 3.0696 -3.9102 -4.1675 -2.4018 -1.3516 -4.5089 5.2010 4.6604" Properties=species:S:1:pos:R:3 pbc="T T T"
Ba -5.9850 3.2992 3.3565
Ba -0.8581 2.2357 -1.3271
Pm -4.5886 2.9344 -0.3007
Pm -2.2544 2.6005 2.3302
Ge -3.3460 0.2551 0.6289
Ge -3.4970 5.2797 1.4006
```

Values from the calculation:
- D(E_F): 4.7 states/eV per cell
- Final energy: -25.67 eV/cell
- Crystal system: tetragonal
- V: 103.76 Å³/f.u.
- Total magnetization: 0.247 μB/atom